DFT (PBE) results for crystalline NbV2Ir2 at its relaxed geometry.

abc: 7.338 7.338 2.801
angles: 90.00 90.00 90.00
Sites, in units of the cell vectors:
1 Nb 0.000 0.000 0.000
2 Nb 0.500 0.500 0.000
3 V 0.154 0.346 0.000
4 V 0.346 0.846 0.000
5 V 0.654 0.154 0.000
6 V 0.846 0.654 0.000
7 Ir 0.145 0.645 0.500
8 Ir 0.355 0.145 0.500
9 Ir 0.645 0.855 0.500
10 Ir 0.855 0.355 0.500

Computed properties:
The calculation puts the total magnetic moment at 0.00 μB/cell. The value obtained for the energy above the lowest structure with this stoichiometry is 0.00 kJ/mol of atoms. Its space-group type is P4/mbm (127). The value obtained for the energy relative to the elements is -0.3635 eV/atom.